[1]
A geometry-optimized CsK2CdCu structure, computed with GGA-PBE.

a = 6.5071 Å, b = 6.5071 Å, c = 5.4177 Å
α = 90.00°, β = 90.00°, γ = 90.00°
Last column: nearest neighbours and their distance in Å.
Element x y z (fractional)
Cs: 0.0000 0.0000 0.0000  8 K 4.23, 4 Cd 4.60
K: 0.0000 0.5000 0.5000  2 Cu 3.25
K: 0.5000 0.0000 0.5000  2 Cu 3.25
Cd: 0.5000 0.5000 0.0000  2 Cu 2.71
Cu: 0.5000 0.5000 0.5000  2 Cd 2.71

Properties
Energy relative to the elements   0.167 eV/atom
Density of states at the Fermi level   3.5 states/eV/cell

[2]
A geometry-optimized Cs2RbCdO structure, computed with GGA-PBE.

a = 6.0686 Å, b = 6.0686 Å, c = 5.7785 Å
α = 90.00°, β = 90.00°, γ = 90.00°
Last column: nearest neighbours and their distance in Å.
Element x y z (fractional)
Cs: 0.0000 0.5000 0.0000  2 O 3.03
Cs: 0.5000 0.0000 0.0000  2 O 3.03
Rb: 0.0000 0.0000 0.5000  2 O 2.89
Cd: 0.5000 0.5000 0.5000  8 Cs 4.19, 4 Rb 4.29
O: 0.0000 0.0000 0.0000  2 Rb 2.89, 4 Cs 3.03

Properties
ΔE to the lowest computed polymorph   0 meV per atom
Density of states at the Fermi level   5.3 states/eV/cell
Uncorrected formation energy   -0.484 eV per atom

[3]
A geometry-optimized IrS2Cl structure, computed with GGA-PBE.

a = 6.4664 Å, b = 6.4664 Å, c = 8.6564 Å
α = 90.00°, β = 90.00°, γ = 90.00°
Last column: nearest neighbours and their distance in Å.
Element x y z (fractional)
Ir: 0.0000 0.0000 0.0000  4 S 2.22
Ir: 0.0000 0.5000 0.2500  4 S 2.22
Ir: 0.5000 0.0000 0.7500  4 S 2.22
Ir: 0.5000 0.5000 0.5000  4 S 2.22
S: 0.1670 0.7500 0.1250  2 Ir 2.22
S: 0.2500 0.1670 0.8750  2 Ir 2.22
S: 0.2500 0.3330 0.3750  2 Ir 2.22
S: 0.3330 0.7500 0.6250  2 Ir 2.22
S: 0.6670 0.2500 0.6250  2 Ir 2.22
S: 0.7500 0.6670 0.3750  2 Ir 2.22
S: 0.7500 0.8330 0.8750  2 Ir 2.22
S: 0.8330 0.2500 0.1250  2 Ir 2.22
Cl: 0.0000 0.0000 0.5000  4 S 2.90
Cl: 0.0000 0.5000 0.7500  4 S 2.90
Cl: 0.5000 0.0000 0.2500  4 S 2.90
Cl: 0.5000 0.5000 0.0000  4 S 2.90

Properties
ΔE to the lowest computed polymorph   344 meV per atom
Density of states at the Fermi level   1.4 states/eV/cell
Uncorrected formation energy   0.073 eV per atom

[4]
A geometry-optimized LaScCl3 structure, computed with GGA-PBE.

a = 5.6174 Å, b = 5.6174 Å, c = 5.6174 Å
α = 90.00°, β = 90.00°, γ = 90.00°
Last column: nearest neighbours and their distance in Å.
Element x y z (fractional)
La: 0.0000 0.0000 0.0000  6 Cl 2.81
Sc: 0.5000 0.5000 0.5000  12 Cl 3.97
Cl: 0.0000 0.0000 0.5000  2 La 2.81
Cl: 0.0000 0.5000 0.0000  2 La 2.81
Cl: 0.5000 0.0000 0.0000  2 La 2.81

Properties
ΔE to the lowest computed polymorph   228 meV per atom
Density of states at the Fermi level   12.8 states/eV/cell
Uncorrected formation energy   -1.081 eV per atom

[5]
A geometry-optimized TlAsPd3 structure, computed with GGA-PBE.

a = 7.8764 Å, b = 5.4866 Å, c = 9.8987 Å
α = 90.00°, β = 120.58°, γ = 90.00°
Last column: nearest neighbours and their distance in Å.
Element x y z (fractional)
Tl: 0.1797 0.2487 0.0943  7 Pd 2.76-2.93
Tl: 0.1797 0.2513 0.5943  7 Pd 2.76-2.93
Tl: 0.8203 0.7487 0.4057  7 Pd 2.76-2.93
Tl: 0.8203 0.7513 0.9057  7 Pd 2.76-2.93
As: 0.3173 0.6753 0.3342  6 Pd 2.48-2.73
As: 0.3173 0.8247 0.8342  6 Pd 2.48-2.73
As: 0.6827 0.1753 0.1658  6 Pd 2.48-2.73
As: 0.6827 0.3247 0.6658  6 Pd 2.48-2.73
Pd: 0.0106 0.5652 0.7176  2 As 2.52-2.71, 1 Tl 2.81
Pd: 0.0106 0.9348 0.2176  2 As 2.52-2.71, 1 Tl 2.81
Pd: 0.2515 0.7402 0.0560  2 As 2.54-2.55, 1 Tl 2.82
Pd: 0.2515 0.7598 0.5560  2 As 2.54-2.55, 1 Tl 2.82
Pd: 0.3712 0.2000 0.4272  2 As 2.48-2.73, 1 Tl 2.76
Pd: 0.3712 0.3000 0.9272  2 As 2.48-2.73, 1 Tl 2.76
Pd: 0.6288 0.7000 0.0728  2 As 2.48-2.73, 1 Tl 2.76
Pd: 0.6288 0.8000 0.5728  2 As 2.48-2.73, 1 Tl 2.76
Pd: 0.7485 0.2402 0.4440  2 As 2.54-2.55, 1 Tl 2.82
Pd: 0.7485 0.2598 0.9440  2 As 2.54-2.55, 1 Tl 2.82
Pd: 0.9894 0.0652 0.7824  2 As 2.52-2.71, 1 Tl 2.81
Pd: 0.9894 0.4348 0.2824  2 As 2.52-2.71, 1 Tl 2.81

Properties
ΔE to the lowest computed polymorph   0 meV per atom
Energy relative to the elements   -0.237 eV/atom
Density of states at the Fermi level   9.6 states/eV/cell

[6]
A geometry-optimized PmTm2As3 structure, computed with GGA-PBE.

a = 4.1253 Å, b = 5.8390 Å, c = 12.3590 Å
α = 90.00°, β = 90.00°, γ = 90.00°
Last column: nearest neighbours and their distance in Å.
Element x y z (fractional)
Pm: 0.0000 0.0000 0.0000  6 As 2.92-2.97
Pm: 0.5000 0.5000 0.5000  6 As 2.92-2.97
Tm: 0.0000 0.0000 0.3344  6 As 2.87-2.92
Tm: 0.0000 0.0000 0.6656  6 As 2.87-2.92
Tm: 0.5000 0.5000 0.1656  6 As 2.87-2.92
Tm: 0.5000 0.5000 0.8344  6 As 2.87-2.92
As: 0.0000 0.5000 0.0000  4 Tm 2.91, 2 Pm 2.92
As: 0.0000 0.5000 0.3275  4 Tm 2.87-2.92, 2 Pm 2.97
As: 0.0000 0.5000 0.6725  4 Tm 2.87-2.92, 2 Pm 2.97
As: 0.5000 0.0000 0.1725  4 Tm 2.87-2.92, 2 Pm 2.97
As: 0.5000 0.0000 0.5000  4 Tm 2.91, 2 Pm 2.92
As: 0.5000 0.0000 0.8275  4 Tm 2.87-2.92, 2 Pm 2.97

Properties
Energy relative to the elements   -1.500 eV/atom
Density of states at the Fermi level   1.8 states/eV/cell